Record 1
VASP calculation (PBE) on crystalline In2CoPt at its relaxed geometry.

Calculated values
Electronic total energy ... -4.61 eV/atom
Energy relative to the lowest polymorph listed for this composition ... 163 meV/atom
Size of the total moment ... 0.6 μB/f.u.
Energy of formation from the pure elements ... 0.042 eV/atom
N(E_F) ... 0.78 states/eV/atom
ρ ... 11.51 g cm⁻³

```
In2CoPt
1.0
-2.050 7.840 2.834
-3.342 6.093 5.041
-0.335 6.820 5.203
Co In Pt
1 2 1
direct
0.750 0.750 0.750
0.005 0.005 0.005
0.495 0.495 0.495
0.250 0.250 0.250
```

---

Record 2
VASP calculation (PBE) on crystalline MnMo2W at its relaxed geometry.

Calculated values
Electronic total energy ... -10.84 eV/atom
Energy relative to the lowest polymorph listed for this composition ... 50 meV/atom
Size of the total moment ... 1.4 μB/f.u.
Energy of formation from the pure elements ... 0.105 eV/atom
N(E_F) ... 1.05 states/eV/atom
ρ ... 11.92 g cm⁻³

```
MnMo2W
1.0
-2.405 -0.139 2.006
0.701 -4.259 0.546
2.730 0.876 3.333
Mn Mo W
1 2 1
direct
0.000 0.500 0.500
0.000 0.000 0.000
0.500 0.500 0.000
0.500 0.000 0.500
```